The following is a PBE calculation of crystalline Nd3Pu4Se8 at its relaxed geometry, from the Alexandria database.

Summary:
N(E_F): 47.98 states/eV/cell
Uncorrected energy: -8.299 eV/atom
Space group: C2/m, No. 12
Spin magnetization: 11.62 μB per formula unit
Energy relative to the elements, uncorrected: -1665 meV per atom

abc: 8.369 8.373 8.373
angles: 89.84 120.13 120.13
Each line ends with the local moment (μB).
Sites, in units of the cell vectors:
Pu1 0.000 0.000 0.000  5.25
Pu2 0.000 0.000 0.500  -5.39
Pu3 0.000 0.500 0.000  -5.39
Pu4 0.500 0.000 0.000  -5.37
Se1 0.005 0.752 0.752  0.05
Se2 0.995 0.248 0.248  0.05
Se3 0.499 0.751 0.751  -0.01
Se4 0.500 0.247 0.753  0.06
Se5 0.000 0.750 0.250  0.02
Se6 0.501 0.249 0.249  -0.01
Se7 0.000 0.250 0.750  0.02
Se8 0.500 0.753 0.247  0.06
Nd1 0.500 0.500 0.000  -0.04
Nd2 0.500 0.500 0.500  -0.04
Nd3 0.500 0.000 0.500  -0.04